Entry 1:
# SmErSnAu, optimized geometry, DFT PBE
# total moment = 0.62 μB per formula unit
# ΔE_f = -0.70 eV per atom
# volume = 102 Å³/f.u.
# E = -77.525 eV per cell
data_SmErSnAu
_chemical_formula_sum 'Sm4 Er4 Sn4 Au4'
_space_group_name_H-M_alt 'F -4 3 m'
_space_group_IT_number 216
_space_group_name_Hall 'F -4 2 3'
_cell_length_a 7.426
_cell_length_b 7.426
_cell_length_c 7.426
_cell_angle_alpha 90.00
_cell_angle_beta 90.00
_cell_angle_gamma 90.00
loop_
_atom_site_label
_atom_site_type_symbol
_atom_site_fract_x
_atom_site_fract_y
_atom_site_fract_z
_atom_site_occupancy
Sm1 Sm 0.000 0.000 0.000 1
Er1 Er 0.000 0.000 0.500 1
Sn1 Sn 0.250 0.250 0.750 1
Au1 Au 0.250 0.250 0.250 1

---

Entry 2:
# FeTeW3, optimized geometry, DFT PBE
# formation energy (no corrections) = 1.41 eV/atom
# total moment = 0.00 μB per formula unit
# volume = 94 Å³/f.u.
# E = -43.403 eV per cell
data_FeTeW3
_chemical_formula_sum 'Fe1 Te1 W3'
_space_group_name_H-M_alt 'P m -3 m'
_space_group_IT_number 221
_space_group_name_Hall '-P 4 2 3'
_cell_length_a 4.546
_cell_length_b 4.546
_cell_length_c 4.546
_cell_angle_alpha 90.00
_cell_angle_beta 90.00
_cell_angle_gamma 90.00
loop_
_atom_site_label
_atom_site_type_symbol
_atom_site_fract_x
_atom_site_fract_y
_atom_site_fract_z
_atom_site_occupancy
Fe1 Fe 0.000 0.000 0.000 1
Te1 Te 0.500 0.500 0.500 1
W1 W 0.000 0.000 0.500 1

---

Q: Among the records above, which one has the highest E?
A: FeTeW3

---

Q: Look up the volume of the first one.
A: 102 Å³/f.u.

---

Q: Among the records above, which one has the highest E?
A: FeTeW3

---

Q: The lowest total moment belongs to which entry?
A: FeTeW3